# 1
{
  "formula": "K2ScIn",
  "functional": "PBE",
  "state": "optimized geometry",
  "e_form_ev_per_fu": 1.37,
  "lattice": [[-1.5962, 4.9606, 2.1958], [-4.0753, -5.5619, 2.5757], [1.5250, -0.7139, 3.2307]],
  "species": ["K", "K", "In", "Sc"],
  "frac_coords": [[0.0000, 0.0000, 0.0000], [0.5000, 0.0000, 0.5000], [0.5000, 0.5000, 0.0000], [0.0000, 0.5000, 0.5000]]
}


# 2
{
  "formula": "K2Sc2In",
  "functional": "PBE",
  "state": "optimized geometry",
  "e_form_ev_per_fu": 2.45,
  "polymorph_energy_ev_per_atom": 0.000,
  "lattice": [[4.0954, 0.0000, 0.0000], [0.0000, 4.0954, 0.0000], [2.0477, 2.0477, 11.6952]],
  "species": ["K", "Sc", "K", "Sc", "In"],
  "frac_coords": [[0.6026, 0.6026, 0.7948], [0.2500, 0.7500, 0.5000], [0.3974, 0.3974, 0.2052], [0.7500, 0.2500, 0.5000], [0.0000, 0.0000, 0.0000]]
}


# 3
{
  "formula": "K2ScIn",
  "functional": "PBE",
  "state": "optimized geometry",
  "e_form_ev_per_fu": 1.68,
  "lattice": [[3.3922, 0.0000, 0.0000], [0.0000, 3.3922, 0.0000], [0.0000, 0.0000, 12.7070]],
  "species": ["K", "Sc", "K", "In"],
  "frac_coords": [[0.0000, 0.0000, 0.9838], [0.5000, 0.5000, 0.2500], [0.0000, 0.0000, 0.5162], [0.5000, 0.5000, 0.7500]]
}


# 4
{
  "formula": "K2ScIn",
  "functional": "PBE",
  "state": "optimized geometry",
  "e_form_ev_per_fu": 1.27,
  "lattice": [[7.0736, 0.0038, 0.0000], [3.9889, 5.8416, 0.0000], [-5.5313, -2.9227, 3.3013]],
  "species": ["In", "Sc", "K", "K"],
  "frac_coords": [[0.7500, 0.2500, 0.5000], [0.2500, 0.7500, 0.5000], [0.0000, 0.0000, 0.0000], [0.5000, 0.5000, 0.0000]]
}


> Which formula does entry 2 have?

K2Sc2In


Copy entry 2 word for word.
{
  "formula": "K2Sc2In",
  "functional": "PBE",
  "state": "optimized geometry",
  "e_form_ev_per_fu": 2.45,
  "polymorph_energy_ev_per_atom": 0.000,
  "lattice": [[4.0954, 0.0000, 0.0000], [0.0000, 4.0954, 0.0000], [2.0477, 2.0477, 11.6952]],
  "species": ["K", "Sc", "K", "Sc", "In"],
  "frac_coords": [[0.6026, 0.6026, 0.7948], [0.2500, 0.7500, 0.5000], [0.3974, 0.3974, 0.2052], [0.7500, 0.2500, 0.5000], [0.0000, 0.0000, 0.0000]]
}